Compound: BiIr3Os
Source: the Alexandria database
Functional: GGA-PBE
Structure: relaxed

Unit cell a=4.7847 b=4.7847 c=4.7847 alpha=90.00 beta=90.00 gamma=90.00
Positions (direct):
Ir (0.5000, 0.0000, 0.0000)
Ir (0.0000, 0.0000, 0.5000)
Os (0.0000, 0.0000, 0.0000)
Ir (0.0000, 0.5000, 0.0000)
Bi (0.5000, 0.5000, 0.5000)

Calculated values
* total magnetization: 0.00 μB per formula unit
* SG: Pm-3m (221)
* calculated volume: 109.5 Å³/cell
* DOS at the Fermi energy: 6.396 states/eV/f.u.
* calculated formation energy: 1442 meV per atom
* electronic total energy: -0.5069 Ry per atom